Here is a geometry-optimized TlSi2As structure from Alexandria via LeMat-Bulk. Energies are from PBE.

For the energy above the lowest structure with this stoichiometry, the calculation gives 243 meV per atom. The symmetry is Imm2. For the formation energy (no corrections), the calculation gives 490.9 meV per atom. As for the total energy: -3.97 eV/atom.

Cell: 5.5180 5.5180 5.5180 Å, 142.66 116.65 75.90°
Positions (direct):
Si 0.9973 0.9973 0.0000
Si 0.8051 0.3051 0.5000
As 0.1918 0.6918 0.5000
Tl 0.5058 0.5058 0.0000

Here is a geometry-optimized SiSn structure from Alexandria via LeMat-Bulk. Energies are from PBE.

The symmetry is P4/m. For the formation energy (no corrections), the calculation gives 434.1 meV per atom. As for the total energy: -4.28 eV/atom.

Cell: 12.0308 12.0308 4.4115 Å, 90.00 90.00 90.00°
Positions (direct):
Sn 0.1108 0.3927 0.0000
Sn 0.3927 0.8892 0.0000
Sn 0.2310 0.6166 0.5000
Sn 0.6166 0.7690 0.5000
Sn 0.7690 0.3834 0.5000
Sn 0.6073 0.1108 0.0000
Sn 0.3834 0.2310 0.5000
Sn 0.8892 0.6073 0.0000
Si 0.6126 0.8906 0.0000
Si 0.8906 0.3874 0.0000
Si 0.1094 0.6126 0.0000
Si 0.6097 0.2329 0.5000
Si 0.2329 0.3903 0.5000
Si 0.3903 0.7671 0.5000
Si 0.7671 0.6097 0.5000
Si 0.3874 0.1094 0.0000

Here is a geometry-optimized Ba2Li2UO6 structure from Alexandria via LeMat-Bulk. Energies are from PBE.

The symmetry is R-3m. For the formation energy (no corrections), the calculation gives -2736.5 meV per atom. As for the total energy: -7.16 eV/atom.

Cell: 6.0061 6.0061 6.4661 Å, 62.33 62.33 60.00°
Positions (direct):
O 0.7629 0.7629 0.2389
O 0.2352 0.7629 0.2389
O 0.2371 0.7648 0.7611
O 0.7648 0.2371 0.7611
O 0.7629 0.2352 0.2389
O 0.2371 0.2371 0.7611
Ba 0.2238 0.2238 0.3285
Ba 0.7762 0.7762 0.6715
U 0.0000 0.0000 0.0000
Li 0.5760 0.5760 0.2720
Li 0.4240 0.4240 0.7280

Here is a geometry-optimized ErTc2O8 structure from Alexandria via LeMat-Bulk. Energies are from PBE.

For the energy above the lowest structure with this stoichiometry, the calculation gives 116 meV per atom. The symmetry is C2/m. For the formation energy (no corrections), the calculation gives -1763.1 meV per atom. As for the total energy: -7.67 eV/atom.

Cell: 5.5635 6.3681 6.3681 Å, 90.00 84.88 84.88°
Positions (direct):
Tc 0.6390 0.7662 0.7662
Tc 0.3610 0.2338 0.2338
O 0.2141 0.2897 0.9976
O 0.6794 0.1757 0.1757
O 0.7247 0.5775 0.5775
O 0.7859 0.0024 0.7103
O 0.3206 0.8243 0.8243
O 0.2753 0.4225 0.4225
O 0.2141 0.9976 0.2897
O 0.7859 0.7103 0.0024
Er 0.0000 0.0000 0.0000

Summary of spin magnetization in μB/f.u.
0.00, 0.00, 0.00, 1.07
(order as listed above)